Hg2PHSe: optimized geometry, PBE-GGA.

Values from the calculation:
density of states at the Fermi level: 1.7 states/eV/cell
final energy: -1.927 eV per atom

Unit cell a=5.132 b=5.132 c=3.606 alpha=90.00 beta=90.00 gamma=90.00
Element x y z (fractional)
Hg: 0.000 0.500 0.000
Hg: 0.500 0.000 0.000
P: 0.000 0.000 0.500
H: 0.500 0.500 0.000
Se: 0.500 0.500 0.500